No. 1
{
  "formula": "Ta3Co3HIr2",
  "functional": "GGA-PBE",
  "state": "optimized geometry",
  "spacegroup": "P-62m, No. 189",
  "lattice_angstrom": [[6.852, 0.000, 0.000], [-3.426, 5.934, 0.000], [0.000, 0.000, 2.984]],
  "species": ["Ta", "Ta", "Ta", "Co", "Co", "Co", "H", "Ir", "Ir"],
  "frac_coords": [[0.000, 0.643, 0.000], [0.357, 0.357, 0.000], [0.643, 0.000, 0.000], [0.000, 0.218, 0.500], [0.218, 0.000, 0.500], [0.782, 0.782, 0.500], [0.000, 0.000, 0.000], [0.333, 0.667, 0.500], [0.667, 0.333, 0.500]]
}

---

No. 2
{
  "formula": "TiCoHIr2",
  "functional": "GGA-PBE",
  "state": "optimized geometry",
  "spacegroup": "P4/mmm, No. 123",
  "lattice_angstrom": [[3.905, 0.000, 0.000], [0.000, 3.905, 0.000], [0.000, 0.000, 3.721]],
  "species": ["Ti", "Co", "H", "Ir", "Ir"],
  "frac_coords": [[0.000, 0.000, 0.000], [0.500, 0.500, 0.000], [0.500, 0.500, 0.500], [0.000, 0.500, 0.500], [0.500, 0.000, 0.500]]
}

---

No. 3
{
  "formula": "TiCoHIr2",
  "functional": "GGA-PBE",
  "state": "optimized geometry",
  "spacegroup": "P4/mmm, No. 123",
  "lattice_angstrom": [[3.848, 0.000, 0.000], [0.000, 3.848, 0.000], [0.000, 0.000, 3.863]],
  "species": ["Ti", "Co", "H", "Ir", "Ir"],
  "frac_coords": [[0.000, 0.000, 0.000], [0.500, 0.500, 0.000], [0.000, 0.000, 0.500], [0.000, 0.500, 0.500], [0.500, 0.000, 0.500]]
}

---

No. 4
{
  "formula": "Tl2CoHIr",
  "functional": "GGA-PBE",
  "state": "optimized geometry",
  "spacegroup": "P4/mmm, No. 123",
  "lattice_angstrom": [[5.317, 0.000, 0.000], [0.000, 5.317, 0.000], [0.000, 0.000, 3.316]],
  "species": ["Tl", "Tl", "Co", "H", "Ir"],
  "frac_coords": [[0.000, 0.500, 0.000], [0.500, 0.000, 0.000], [0.000, 0.000, 0.500], [0.500, 0.500, 0.500], [0.500, 0.500, 0.000]]
}

---

Number 1: E -79.45 eV for the cell shown, theoretical density 15.12 Mg/m³. Number 2: E -38.25 eV for the cell shown, theoretical density 14.40 Mg/m³. Number 3: E -37.85 eV for the cell shown, theoretical density 14.29 Mg/m³. Number 4: E -20.49 eV for the cell shown, theoretical density 11.71 Mg/m³.